No. 1
A geometry-optimized ScTlPb structure, computed with PBE-GGA.

Values from the calculation:
- Offset from the most stable computed form: 0.00 eV per formula unit

a b c (Å): 15.371 4.503 4.444
angles (deg): 90.00 90.00 90.00
Fractional coordinates of all 12 atoms:
Sc (0.346, 0.000, 0.500)
Sc (0.654, 0.000, 0.500)
Sc (0.846, 0.500, 0.500)
Sc (0.154, 0.500, 0.500)
Tl (0.500, 0.000, 0.000)
Tl (0.000, 0.500, 0.000)
Tl (0.000, 0.000, 0.500)
Tl (0.500, 0.500, 0.500)
Pb (0.826, 0.000, 0.000)
Pb (0.174, 0.000, 0.000)
Pb (0.326, 0.500, 0.000)
Pb (0.674, 0.500, 0.000)

=====

No. 2
A geometry-optimized ScTlPb2 structure, computed with PBE-GGA.

a b c (Å): 10.364 10.364 10.364
angles (deg): 19.87 19.87 19.87
Fractional coordinates of all 4 atoms:
Pb (0.001, 0.001, 0.001)
Pb (0.245, 0.245, 0.245)
Sc (0.500, 0.500, 0.500)
Tl (0.755, 0.755, 0.755)

=====

No. 3
A geometry-optimized ScTlPb structure, computed with PBE-GGA.

Values from the calculation:
- Offset from the most stable computed form: 0.04 eV per formula unit

a b c (Å): 4.426 16.054 4.378
angles (deg): 90.00 90.00 90.00
Fractional coordinates of all 12 atoms:
Sc (0.000, 0.914, 0.250)
Sc (0.000, 0.086, 0.750)
Sc (0.500, 0.414, 0.250)
Sc (0.500, 0.586, 0.750)
Tl (0.000, 0.254, 0.250)
Tl (0.000, 0.746, 0.750)
Tl (0.500, 0.754, 0.250)
Tl (0.500, 0.246, 0.750)
Pb (0.000, 0.574, 0.250)
Pb (0.000, 0.426, 0.750)
Pb (0.500, 0.074, 0.250)
Pb (0.500, 0.926, 0.750)

=====

No. 4
A geometry-optimized Sc2TlPb2 structure, computed with PBE-GGA.

Values from the calculation:
- Offset from the most stable computed form: 0.00 eV per formula unit

a b c (Å): 8.747 8.747 3.472
angles (deg): 90.00 90.00 90.00
Last column: magnetic moment on the atom in μB.
Fractional coordinates of all 10 atoms:
Pb (0.169, 0.669, 0.500)  -0.01
Pb (0.669, 0.831, 0.500)  -0.01
Pb (0.831, 0.331, 0.500)  -0.01
Pb (0.331, 0.169, 0.500)  -0.01
Sc (0.369, 0.869, 0.000)  0.10
Sc (0.869, 0.631, 0.000)  0.09
Sc (0.631, 0.131, 0.000)  0.10
Sc (0.131, 0.369, 0.000)  0.09
Tl (0.000, 0.000, 0.000)  -0.01
Tl (0.500, 0.500, 0.000)  -0.01

=====

No. 5
A geometry-optimized ScTlPb2 structure, computed with PBE-GGA.

a b c (Å): 6.235 6.235 5.578
angles (deg): 71.16 71.16 32.40
Fractional coordinates of all 4 atoms:
Pb (0.994, 0.994, 0.046)
Pb (0.766, 0.766, 0.685)
Sc (0.505, 0.505, 0.554)
Tl (0.235, 0.235, 0.215)

=====

No. 6
A geometry-optimized ScTl2Pb2 structure, computed with PBE-GGA.

Values from the calculation:
- Offset from the most stable computed form: 0.00 eV per formula unit

a b c (Å): 7.987 7.987 4.740
angles (deg): 90.00 90.00 90.00
Fractional coordinates of all 10 atoms:
Pb (0.359, 0.859, 0.000)
Pb (0.859, 0.641, 0.000)
Pb (0.641, 0.141, 0.000)
Pb (0.141, 0.359, 0.000)
Sc (0.000, 0.000, 0.000)
Sc (0.500, 0.500, 0.000)
Tl (0.165, 0.665, 0.500)
Tl (0.665, 0.835, 0.500)
Tl (0.835, 0.335, 0.500)
Tl (0.335, 0.165, 0.500)

=====

No. 7
A geometry-optimized ScTlPb structure, computed with PBE-GGA.

Values from the calculation:
- Offset from the most stable computed form: 0.08 eV per formula unit

a b c (Å): 6.491 4.436 11.031
angles (deg): 90.00 102.18 90.00
Fractional coordinates of all 12 atoms:
Sc (0.140, 0.000, 0.552)
Sc (0.140, 0.500, 0.052)
Sc (0.503, 0.000, 0.269)
Sc (0.503, 0.500, 0.769)
Tl (0.827, 0.000, 0.906)
Tl (0.827, 0.500, 0.406)
Tl (0.008, 0.000, 0.226)
Tl (0.008, 0.500, 0.726)
Pb (0.327, 0.000, 0.913)
Pb (0.327, 0.500, 0.413)
Pb (0.651, 0.000, 0.596)
Pb (0.651, 0.500, 0.096)

=====

No. 8
A geometry-optimized ScTlPb structure, computed with PBE-GGA.

Values from the calculation:
- Offset from the most stable computed form: 0.16 eV per formula unit

a b c (Å): 5.055 3.399 5.116
angles (deg): 90.00 90.00 90.00
Fractional coordinates of all 3 atoms:
Sc (0.500, 0.500, 0.500)
Tl (0.500, 0.000, 0.000)
Pb (0.000, 0.000, 0.500)

=====

Ordered final energy results: -12.99, -16.19, -12.96, -23.52, -16.52, -18.00, -12.92, -12.83; unit eV per formula unit.
Ordered ΔH_f (0 K) results: -0.20, -0.02, -0.18, -0.21, -0.10, 0.10, -0.17, -0.14; unit eV per atom.